Material: TbErAl6
Method: DFT, PBE-GGA
State: optimized geometry

Cell lengths 5.497, 5.497, 5.497 Å; angles 90.00, 90.00, 90.00 degrees
Fractional positions:
Tb 0.500 0.500 0.500
Er 0.000 0.000 0.000
Al 0.500 0.750 0.000
Al 0.750 0.000 0.500
Al 0.000 0.500 0.250
Al 0.250 0.000 0.500
Al 0.500 0.250 0.000
Al 0.000 0.500 0.750

- distance to the lowest polymorph of the same formula (meV per atom) = 330
- density of states at the Fermi level (states/eV/f.u.) = 5.2
- energy relative to the elements (eV/atom) = -0.087
- crystal system = cubic
- SG = Pm-3 (200)


Material: LiBeZnPtI
Method: DFT, PBE-GGA
State: optimized geometry

Cell lengths 7.330, 3.948, 8.166 Å; angles 90.00, 116.43, 90.00 degrees
Fractional positions:
Li 0.903 0.000 0.073
Li 0.903 0.500 0.573
Be 0.467 0.000 0.521
Be 0.467 0.500 0.021
Zn 0.683 0.000 0.351
Zn 0.683 0.500 0.851
Pt 0.776 0.000 0.705
Pt 0.776 0.500 0.205
I 0.222 0.000 0.917
I 0.222 0.500 0.417

- distance to the lowest polymorph of the same formula (meV per atom) = 236
- density of states at the Fermi level (states/eV/f.u.) = 1.4
- crystal system = monoclinic
- SG = Cm (8)
- formation energy from raw total energies (meV per atom) = -220


Material: Tb3Cu4Pd2
Method: DFT, PBE-GGA
State: optimized geometry

Cell lengths 4.237, 5.649, 8.435 Å; angles 110.45, 90.00, 112.03 degrees
Fractional positions:
Tb 0.670 0.340 0.662
Tb 0.000 0.000 0.000
Tb 0.330 0.660 0.338
Cu 0.725 0.449 0.050
Cu 0.275 0.551 0.950
Cu 0.953 0.906 0.610
Cu 0.047 0.094 0.390
Pd 0.610 0.220 0.270
Pd 0.390 0.780 0.730

- density of states at the Fermi level (states/eV/f.u.) = 5.2
- energy relative to the elements (eV/atom) = -0.474
- crystal system = monoclinic
- SG = C2/m (12)


Material: NiAsCl2
Method: DFT, PBE-GGA
State: optimized geometry

Cell lengths 9.806, 9.806, 9.806 Å; angles 19.34, 19.34, 19.34 degrees
Fractional positions:
Ni 0.250 0.250 0.250
As 0.750 0.750 0.750
Cl 0.965 0.965 0.965
Cl 0.535 0.535 0.535

- distance to the lowest polymorph of the same formula (meV per atom) = 465
- density of states at the Fermi level (states/eV/f.u.) = 1.4
- crystal system = trigonal
- SG = R-3m (166)
- formation energy from raw total energies (meV per atom) = 8


Material: Er2ZnSi3
Method: DFT, PBE-GGA
State: optimized geometry

Cell lengths 5.642, 5.642, 8.041 Å; angles 110.01, 110.01, 91.41 degrees
Fractional positions:
Er 0.250 0.750 0.500
Er 0.755 0.755 0.000
Er 0.750 0.250 0.500
Er 0.245 0.245 0.000
Zn 0.334 0.334 0.667
Zn 0.666 0.666 0.333
Si 0.666 0.168 0.834
Si 0.832 0.334 0.166
Si 0.334 0.832 0.166
Si 0.168 0.666 0.834
Si 0.833 0.833 0.666
Si 0.167 0.167 0.334

- density of states at the Fermi level (states/eV/f.u.) = 1.5
- crystal system = orthorhombic
- SG = Fmmm (69)
- formation energy from raw total energies (meV per atom) = -595


Material: Mg5In2Hg
Method: DFT, PBE-GGA
State: optimized geometry

Cell lengths 4.777, 4.777, 8.634 Å; angles 106.06, 106.06, 90.00 degrees
Fractional positions:
Mg 0.500 0.500 0.000
Mg 0.877 0.377 0.755
Mg 0.377 0.877 0.755
Mg 0.123 0.623 0.245
Mg 0.623 0.123 0.245
In 0.747 0.747 0.494
In 0.253 0.253 0.506
Hg 0.000 0.000 0.000

- density of states at the Fermi level (states/eV/f.u.) = 2.8
- energy relative to the elements (eV/atom) = -0.091
- crystal system = tetragonal
- SG = I4/mmm (139)


Material: BeZn2Mo
Method: DFT, PBE-GGA
State: optimized geometry

Cell lengths 4.229, 4.229, 4.229 Å; angles 60.00, 60.00, 60.00 degrees
Fractional positions:
Be 0.500 0.500 0.500
Mo 0.750 0.750 0.750
Zn 0.000 0.000 0.000
Zn 0.250 0.250 0.250

- density of states at the Fermi level (states/eV/f.u.) = 1.8
- energy relative to the elements (eV/atom) = 0.322
- crystal system = cubic
- SG = F-43m (216)


Material: LiCd2Ni
Method: DFT, PBE-GGA
State: optimized geometry

Cell lengths 4.508, 4.508, 3.176 Å; angles 90.02, 90.02, 90.00 degrees
Fractional positions:
Ni 0.000 0.500 0.500
Cd 0.000 0.000 0.000
Cd 0.500 0.500 0.000
Li 0.500 0.000 0.500

- distance to the lowest polymorph of the same formula (meV per atom) = 32
- density of states at the Fermi level (states/eV/f.u.) = 2.4
- energy relative to the elements (eV/atom) = -0.107
- crystal system = tetragonal
- SG = P4/mmm (123)


> What is the formula in the third record?

Tb3Cu4Pd2